Here is a relaxed structure of KV2O6 from Alexandria via LeMat-Bulk. Energies are from PBE with a Hubbard U.

Output
Relative energy among the computed polymorphs, meV/atom: 0
Total magnetic moment, μB per atom: 0.12

Unit cell a=9.9105 b=3.7224 c=7.7684 alpha=90.00 beta=109.04 gamma=90.00
Space group C2/m (No. 12)
Inequivalent atoms, fractional coordinates:
K 0.0000 0.0000 0.0000 x2
V 0.1897 0.0000 0.6194 x4
O 0.0212 0.0000 0.6483 x4
O 0.2013 0.5000 0.5579 x4
O 0.2026 0.5000 0.1669 x4